VASP calculation (PBE-GGA) on NiSbTe2N after structural relaxation.

It has space group P4/mmm (No. 123), with a = 5.4333 Å, b = 5.4333 Å, c = 3.5394 Å, α = 90.00°, β = 90.00° and γ = 90.00°. Symmetry generates all atoms from Ni at (0.0000, 0.0000, 0.0000), Sb at (0.5000, 0.5000, 0.5000), Te at (0.0000, 0.5000, 0.0000) and N at (0.0000, 0.0000, 0.5000).

The total DFT energy (no corrections) is -4.4575 eV per atom. The density of states at the Fermi level is 4.03 states/eV per cell. The calculation puts the spin magnetization at 0.0 μB per cell. The value obtained for the energy above the most stable polymorph in this dataset is 0.0 meV per atom.